Material: Hf3ReSe
Method: DFT, SCAN
State: PBEsol geometry

SG	Pm-3m
formation energy from raw total energies	0.586	eV per atom
crystal system	cubic
energy	-276.3	eV per cell

```
Hf3ReSe
1.0
-2.5773 -3.6429 -1.6403
3.9845 -2.4863 -0.7387
-0.2918 -1.7752 4.4008
Hf Se Re
3 1 1
direct
0.5000 0.0000 0.0000 Hf
0.0000 0.5000 0.0000 Hf
0.0000 0.0000 0.5000 Hf
0.0000 0.0000 0.0000 Se
0.5000 0.5000 0.5000 Re
```